# ScSbTe2 PBE relaxed
data_ScSbTe2
_chemical_formula_sum 'Sc1 Sb1 Te2'
_cell_length_a 4.104
_cell_length_b 5.419
_cell_length_c 5.615
_cell_angle_alpha 90.00
_cell_angle_beta 111.37
_cell_angle_gamma 90.00
_symmetry_space_group_name_H-M 'P 1 m 1'
_symmetry_Int_Tables_number 6
loop_
_symmetry_equiv_pos_as_xyz
'x,y,z'
'x,-y,z'
loop_
_atom_site_label
_atom_site_fract_x
_atom_site_fract_y
_atom_site_fract_z
Sc1 0.000 0.000 0.000
Sb1 0.400 0.500 0.805
Te1 0.098 0.500 0.202
Te2 0.713 0.000 0.430
# Magnetization   0.00 μB per formula unit
# ρ   6024 kg/m3
# E   -18.60 eV per cell